Entry from OQMD: an optimized crystal structure of FeSi30Ge (PBE-GGA).

POSCAR file:
```
FeSi30Ge
1.0
-3.282 5.248 -6.011
-8.214 3.738 2.796
1.288 9.079 2.275
Si Ge Fe
30 1 1
Direct
0.001 0.000 0.003 Si
0.747 0.191 0.686 Si
0.498 0.628 0.625 Si
0.499 0.374 0.375 Si
0.250 0.813 0.315 Si
0.251 0.063 0.322 Si
0.250 0.310 0.811 Si
0.750 0.188 0.437 Si
0.749 0.688 0.188 Si
0.001 0.497 0.500 Si
0.251 0.813 0.063 Si
0.750 0.938 0.188 Si
0.251 0.561 0.812 Si
0.250 0.562 0.063 Si
0.499 0.124 0.876 Si
0.490 0.884 0.622 Si
0.749 0.439 0.687 Si
0.001 0.249 0.252 Si
0.499 0.876 0.873 Si
0.251 0.302 0.562 Si
0.000 0.749 0.500 Si
0.001 0.250 0.001 Si
0.500 0.375 0.125 Si
0.000 0.500 0.250 Si
0.748 0.938 0.438 Si
0.750 0.437 0.938 Si
0.749 0.688 0.937 Si
0.499 0.125 0.127 Si
0.500 0.624 0.376 Si
0.001 0.747 0.749 Si
0.010 0.003 0.742 Ge
0.254 0.064 0.559 Fe
```

Properties
**Calculated total energy**: -0.199 Ha/atom
**Space group**: P1


Entry from OQMD: an optimized crystal structure of Fe6SiGe2 (PBE-GGA).

POSCAR file:
```
Fe6SiGe2
1.0
-2.106 6.000 1.415
-4.230 -4.571 -1.910
-0.406 -0.814 2.846
Ge Fe Si
2 6 1
Direct
0.333 0.667 0.500 Ge
0.667 0.333 0.500 Ge
0.382 0.382 0.000 Fe
0.000 0.618 0.000 Fe
0.732 0.732 0.500 Fe
0.268 0.000 0.500 Fe
0.000 0.268 0.500 Fe
0.618 0.000 0.000 Fe
0.000 0.000 0.000 Si
```

Properties
**Calculated total energy**: -0.270 Ha/atom
**Space group**: P-62m


Entry from OQMD: an optimized crystal structure of Fe2SiGe (PBE-GGA).

POSCAR file:
```
Fe2SiGe
1.0
5.657 0.000 0.000
0.000 5.657 0.000
0.000 0.000 5.657
Fe Ge Si
8 4 4
Direct
0.255 0.745 0.745 Fe
0.745 0.255 0.745 Fe
0.255 0.255 0.255 Fe
0.745 0.745 0.255 Fe
0.255 0.255 0.745 Fe
0.255 0.745 0.255 Fe
0.745 0.745 0.745 Fe
0.745 0.255 0.255 Fe
0.000 0.500 0.000 Ge
0.000 0.000 0.500 Ge
0.500 0.000 0.000 Ge
0.000 0.000 0.000 Ge
0.500 0.500 0.500 Si
0.500 0.000 0.500 Si
0.500 0.500 0.000 Si
0.000 0.500 0.500 Si
```

Properties
**Calculated total energy**: -0.253 Ha/atom
**Space group**: Pm-3m


Entry from OQMD: an optimized crystal structure of Sr2Fe4SiGe (PBE-GGA).

POSCAR file:
```
Sr2Fe4SiGe
1.0
4.118 0.000 0.000
-2.059 3.567 0.000
0.000 0.000 10.827
Fe Sr Ge Si
4 2 1 1
Direct
0.333 0.667 0.525 Fe
0.667 0.333 0.475 Fe
0.333 0.667 0.975 Fe
0.667 0.333 0.025 Fe
0.333 0.667 0.252 Sr
0.667 0.333 0.748 Sr
0.000 0.000 0.000 Ge
0.000 0.000 0.500 Si
```

Properties
**Calculated total energy**: -0.219 Ha/atom
**Space group**: P-3m1


Entry from OQMD: an optimized crystal structure of TmFe2SiGe (PBE-GGA).

POSCAR file:
```
TmFe2SiGe
1.0
-1.979 1.979 4.852
1.979 -1.979 4.852
1.979 1.979 -4.852
Tm Fe Si Ge
1 2 1 1
Direct
0.999 0.999 0.000 Tm
0.755 0.255 0.500 Fe
0.255 0.755 0.500 Fe
0.365 0.365 0.000 Si
0.626 0.626 0.000 Ge
```

Properties
**Calculated total energy**: -0.250 Ha/atom
**Space group**: I4mm


Entry from OQMD: an optimized crystal structure of Sm2Fe3Ge5 (PBE-GGA).

POSCAR file:
```
Sm2Fe3Ge5
1.0
5.567 -6.042 0.000
5.567 6.042 0.000
-2.829 0.000 5.002
Fe Ge Sm
6 10 4
Direct
0.548 0.261 0.881 Fe
0.997 0.003 0.750 Fe
0.739 0.452 0.619 Fe
0.452 0.739 0.119 Fe
0.003 0.997 0.250 Fe
0.261 0.548 0.381 Fe
0.738 0.920 0.325 Ge
0.080 0.262 0.175 Ge
0.262 0.080 0.675 Ge
0.494 0.506 0.750 Ge
0.920 0.738 0.825 Ge
0.788 0.212 0.750 Ge
0.506 0.494 0.250 Ge
0.226 0.774 0.750 Ge
0.212 0.788 0.250 Ge
0.774 0.226 0.250 Ge
0.596 0.871 0.736 Sm
0.404 0.129 0.264 Sm
0.871 0.596 0.236 Sm
0.129 0.404 0.764 Sm
```

Properties
**Calculated total energy**: -0.228 Ha/atom
**Space group**: C2/c


Entry from OQMD: an optimized crystal structure of FeSnGe2 (PBE-GGA).

POSCAR file:
```
FeSnGe2
1.0
0.000 3.264 3.264
3.264 0.000 3.264
3.264 3.264 0.000
Ge Sn Fe
2 1 1
Direct
0.750 0.750 0.750 Ge
0.000 0.000 0.000 Ge
0.500 0.500 0.500 Sn
0.250 0.250 0.250 Fe
```

Properties
**Calculated total energy**: -0.179 Ha/atom
**Space group**: F-43m


Entry from OQMD: an optimized crystal structure of Fe2SnGe (PBE-GGA).

POSCAR file:
```
Fe2SnGe
1.0
-1.666 -0.331 -5.789
4.453 -3.930 -1.057
-3.713 -4.565 1.329
Ge Sn Fe
4 4 8
Direct
0.500 0.500 0.000 Ge
0.500 0.500 0.500 Ge
0.000 0.500 0.500 Ge
0.500 0.000 0.500 Ge
0.500 0.000 0.000 Sn
0.000 0.000 0.000 Sn
0.000 0.000 0.500 Sn
0.000 0.500 0.000 Sn
0.738 0.262 0.738 Fe
0.262 0.262 0.262 Fe
0.738 0.738 0.738 Fe
0.262 0.738 0.262 Fe
0.262 0.262 0.738 Fe
0.738 0.262 0.262 Fe
0.738 0.738 0.262 Fe
0.262 0.738 0.738 Fe
```

Properties
**Space group**: Pm-3m
**Polymorph energy (0 for the lowest one)**: 0.2 kJ per mole of atoms


Number 1: theoretical density 2.48 g cm⁻³. Number 2: theoretical density 7.69 g cm⁻³. Number 3: theoretical density 7.79 g cm⁻³. Number 4: theoretical density 5.21 g cm⁻³. Number 5: theoretical density 8.33 g cm⁻³. Number 6: theoretical density 8.21 g cm⁻³. Number 7: theoretical density 7.64 g cm⁻³. Number 8: theoretical density 9.17 g cm⁻³.